A) MnTlCu2: optimized geometry, GGA-PBE.

```
MnTlCu2
1.0
-3.733 -0.699 2.317
-0.805 2.360 3.685
-3.217 3.073 0.015
Tl Mn Cu
1 1 2
Cartesian
-3.878 2.367 3.008 Tl
0.000 0.000 0.000 Mn
-1.939 1.183 1.504 Cu
-5.816 3.550 4.513 Cu
```

Summary:
**Spin magnetization**: 3.9 Bohr magnetons per cell

=====

B) MnTlCu2: optimized geometry, GGA-PBE.

```
MnTlCu2
1.0
4.640 -0.545 0.462
3.262 3.344 0.462
1.469 0.520 3.782
Cu Mn Tl
2 1 1
Cartesian
9.359 3.315 4.699 Cu
7.033 2.491 3.532 Cu
4.695 1.663 2.359 Mn
2.341 0.829 1.176 Tl
```

Summary:
**Spin magnetization**: 3.8 Bohr magnetons per cell

=====

C) MnTlCu2: optimized geometry, GGA-PBE.

```
MnTlCu2
1.0
-2.898 -1.407 -2.412
2.319 -3.154 -0.946
-1.498 -1.990 2.960
Cu Mn Tl
2 1 1
Cartesian
0.000 0.000 0.000 Cu
-0.289 -2.280 -1.679 Cu
-2.198 -1.698 0.274 Mn
0.410 -2.572 1.007 Tl
```

Summary:
**Spin magnetization**: 3.6 Bohr magnetons per cell

=====

Which of them is the least stable? Correct choice: C).

=====

A) MnV3Cu: optimized geometry, GGA-PBE.

```
MnV3Cu
1.0
-0.157 -3.240 2.778
3.118 1.811 2.289
-2.915 2.112 2.299
Mn Cu V
1 1 3
Cartesian
0.000 0.000 0.000 Mn
0.023 0.341 3.683 Cu
1.559 0.906 1.144 V
-1.457 1.056 1.150 V
-0.078 -1.620 1.389 V
```

Summary:
**Spin magnetization**: 0.0 Bohr magnetons per cell

=====

B) MnV3Cu: optimized geometry, GGA-PBE.

```
MnV3Cu
1.0
-2.956 -0.075 3.291
-2.460 -2.889 -2.275
2.187 -3.350 1.889
Mn Cu V
1 1 3
Cartesian
-1.614 -3.157 1.452 Mn
0.000 0.000 0.000 Cu
-1.230 -1.444 -1.138 V
1.094 -1.675 0.944 V
-1.478 -0.037 1.645 V
```

Summary:
**Spin magnetization**: 0.1 Bohr magnetons per cell

=====

Which of them is the least stable? Correct choice: B).